[1]
# Rb2IrPt2 | Alexandria | GGA-PBE | optimized geometry
data_Rb2IrPt2
_chemical_formula_sum 'Rb4 Ir2 Pt4'
_cell_length_a 6.6203
_cell_length_b 6.6203
_cell_length_c 5.7064
_cell_angle_alpha 90.00
_cell_angle_beta 90.00
_cell_angle_gamma 90.00
_symmetry_space_group_name_H-M 'P 1'
_symmetry_Int_Tables_number 1
_symmetry_space_group_name_Hall 'P 1'
loop_
_atom_site_label
_atom_site_type_symbol
_atom_site_fract_x
_atom_site_fract_y
_atom_site_fract_z
Rb1 Rb 0.3187 0.1813 0.5000
Ir1 Ir 0.5000 0.5000 0.0000
Rb2 Rb 0.1813 0.6813 0.5000
Ir2 Ir 0.0000 0.0000 0.0000
Pt1 Pt 0.6373 0.1373 0.0000
Rb3 Rb 0.6813 0.8187 0.5000
Rb4 Rb 0.8187 0.3187 0.5000
Pt2 Pt 0.8627 0.6373 0.0000
Pt3 Pt 0.3627 0.8627 0.0000
Pt4 Pt 0.1373 0.3627 0.0000
# Crystal system: tetragonal
# ρ (Mg/m³): 10.0
# Uncorrected energy (eV for the cell shown): -43.24
# Space-group type: P4/mbm (127)

[2]
# Ac2InAs | Alexandria | GGA-PBE | optimized geometry
data_Ac2InAs
_chemical_formula_sum 'Ac2 In1 As1'
_cell_length_a 5.6624
_cell_length_b 5.6624
_cell_length_c 5.6624
_cell_angle_alpha 60.00
_cell_angle_beta 60.00
_cell_angle_gamma 60.00
_symmetry_space_group_name_H-M 'P 1'
_symmetry_Int_Tables_number 1
_symmetry_space_group_name_Hall 'P 1'
loop_
_atom_site_label
_atom_site_type_symbol
_atom_site_fract_x
_atom_site_fract_y
_atom_site_fract_z
Ac1 Ac 0.2500 0.2500 0.2500
In1 In 0.0000 0.0000 0.0000
Ac2 Ac 0.7500 0.7500 0.7500
As1 As 0.5000 0.5000 0.5000
# Crystal system: cubic
# ρ (Mg/m³): 8.3
# Uncorrected energy (eV for the cell shown): -17.91
# Energy above the most stable polymorph in this dataset (eV/atom): 0.2670
# Space-group type: Fm-3m (225)

[3]
# Tb2Nd3Y6Zr | Alexandria | GGA-PBE | optimized geometry
data_Tb2Nd3Y6Zr
_chemical_formula_sum 'Tb2 Nd3 Y6 Zr1'
_cell_length_a 6.1732
_cell_length_b 6.1732
_cell_length_c 11.7503
_cell_angle_alpha 95.01
_cell_angle_beta 95.01
_cell_angle_gamma 119.95
_symmetry_space_group_name_H-M 'P 1'
_symmetry_Int_Tables_number 1
_symmetry_space_group_name_Hall 'P 1'
loop_
_atom_site_label
_atom_site_type_symbol
_atom_site_fract_x
_atom_site_fract_y
_atom_site_fract_z
Zr1 Zr 0.0000 0.0000 0.0000
Nd1 Nd 0.1661 0.8339 0.5000
Y1 Y 0.4068 0.0802 0.2421
Y2 Y 0.5932 0.9198 0.7579
Nd2 Nd 0.5000 0.5000 0.5000
Y3 Y 0.2460 0.2460 0.7582
Y4 Y 0.7540 0.7540 0.2418
Tb1 Tb 0.6667 0.3333 0.0000
Tb2 Tb 0.3333 0.6667 0.0000
Y5 Y 0.0802 0.4068 0.2421
Y6 Y 0.9198 0.5932 0.7579
Nd3 Nd 0.8339 0.1661 0.5000
# Crystal system: monoclinic
# ρ (Mg/m³): 6.0
# Uncorrected energy (eV for the cell shown): -70.32
# Space-group type: C2/m (12)

[4]
# KRhBr2 | Alexandria | GGA-PBE | optimized geometry
data_KRhBr2
_chemical_formula_sum 'K1 Rh1 Br2'
_cell_length_a 7.4060
_cell_length_b 7.4060
_cell_length_c 7.4060
_cell_angle_alpha 147.23
_cell_angle_beta 147.23
_cell_angle_gamma 47.03
_symmetry_space_group_name_H-M 'P 1'
_symmetry_Int_Tables_number 1
_symmetry_space_group_name_Hall 'P 1'
loop_
_atom_site_label
_atom_site_type_symbol
_atom_site_fract_x
_atom_site_fract_y
_atom_site_fract_z
Rh1 Rh 0.7500 0.2500 0.5000
Br1 Br 0.0000 0.0000 0.0000
K1 K 0.5000 0.5000 0.0000
Br2 Br 0.2500 0.7500 0.5000
# Uncorrected formation energy (eV per formula unit): -0.8
# Crystal system: tetragonal
# ρ (Mg/m³): 4.2
# Uncorrected energy (eV for the cell shown): -12.57
# Energy above the most stable polymorph in this dataset (eV/atom): 0.4234
# Space-group type: I-4m2 (119)

[5]
# Bi2TeSCl | Alexandria | GGA-PBE | optimized geometry
data_Bi2TeSCl
_chemical_formula_sum 'Bi2 Te1 S1 Cl1'
_cell_length_a 5.6502
_cell_length_b 5.6502
_cell_length_c 4.6429
_cell_angle_alpha 90.00
_cell_angle_beta 90.00
_cell_angle_gamma 90.00
_symmetry_space_group_name_H-M 'P 1'
_symmetry_Int_Tables_number 1
_symmetry_space_group_name_Hall 'P 1'
loop_
_atom_site_label
_atom_site_type_symbol
_atom_site_fract_x
_atom_site_fract_y
_atom_site_fract_z
Bi1 Bi 0.5000 0.0000 0.0000
S1 S 0.0000 0.0000 0.5000
Bi2 Bi 0.0000 0.5000 0.0000
Cl1 Cl 0.0000 0.0000 0.0000
Te1 Te 0.5000 0.5000 0.5000
# Uncorrected formation energy (eV per formula unit): 2.9
# Crystal system: tetragonal
# ρ (Mg/m³): 6.9
# Uncorrected energy (eV for the cell shown): -13.96
# Space-group type: P4/mmm (123)

[6]
# ZnHgMo2 | Alexandria | GGA-PBE | optimized geometry
data_ZnHgMo2
_chemical_formula_sum 'Zn1 Hg1 Mo2'
_cell_length_a 5.7464
_cell_length_b 5.2485
_cell_length_c 2.7527
_cell_angle_alpha 86.11
_cell_angle_beta 69.20
_cell_angle_gamma 117.02
_symmetry_space_group_name_H-M 'P 1'
_symmetry_Int_Tables_number 1
_symmetry_space_group_name_Hall 'P 1'
loop_
_atom_site_label
_atom_site_type_symbol
_atom_site_fract_x
_atom_site_fract_y
_atom_site_fract_z
Mo1 Mo 0.5000 0.0000 0.5000
Zn1 Zn 0.0000 0.5000 0.5000
Mo2 Mo 0.0000 0.0000 0.0000
Hg1 Hg 0.5000 0.5000 0.0000
# Crystal system: monoclinic
# ρ (Mg/m³): 11.4
# Uncorrected energy (eV for the cell shown): -21.59
# Energy above the most stable polymorph in this dataset (eV/atom): 0.1432
# Space-group type: C2/m (12)

[7]
# Nb2AlV | Alexandria | GGA-PBE | optimized geometry
data_Nb2AlV
_chemical_formula_sum 'Nb4 Al2 V2'
_cell_length_a 7.1549
_cell_length_b 7.1549
_cell_length_c 5.7538
_cell_angle_alpha 51.56
_cell_angle_beta 51.56
_cell_angle_gamma 90.00
_symmetry_space_group_name_H-M 'P 1'
_symmetry_Int_Tables_number 1
_symmetry_space_group_name_Hall 'P 1'
loop_
_atom_site_label
_atom_site_type_symbol
_atom_site_fract_x
_atom_site_fract_y
_atom_site_fract_z
Nb1 Nb 0.1092 0.6250 0.2500
Al1 Al 0.5000 0.5000 0.0000
Nb2 Nb 0.8750 0.8908 0.7500
V1 V 0.7500 0.2500 0.5000
Al2 Al 0.2500 0.7500 0.5000
Nb3 Nb 0.3750 0.3592 0.7500
Nb4 Nb 0.6408 0.1250 0.2500
V2 V 0.0000 0.0000 0.0000
# Crystal system: tetragonal
# ρ (Mg/m³): 6.2
# Uncorrected energy (eV for the cell shown): -62.46
# Space-group type: I-42d (122)

[8]
# BeB2Ir | Alexandria | GGA-PBE | optimized geometry
data_BeB2Ir
_chemical_formula_sum 'Be2 B4 Ir2'
_cell_length_a 4.8170
_cell_length_b 4.8170
_cell_length_c 5.5158
_cell_angle_alpha 64.11
_cell_angle_beta 64.11
_cell_angle_gamma 90.00
_symmetry_space_group_name_H-M 'P 1'
_symmetry_Int_Tables_number 1
_symmetry_space_group_name_Hall 'P 1'
loop_
_atom_site_label
_atom_site_type_symbol
_atom_site_fract_x
_atom_site_fract_y
_atom_site_fract_z
Ir1 Ir 0.0000 0.0000 0.0000
Ir2 Ir 0.7500 0.2500 0.5000
B1 B 0.6308 0.1250 0.2500
B2 B 0.1192 0.6250 0.2500
Be1 Be 0.2500 0.7500 0.5000
B3 B 0.8750 0.8808 0.7500
Be2 Be 0.5000 0.5000 0.0000
B4 B 0.3750 0.3692 0.7500
# Crystal system: tetragonal
# ρ (Mg/m³): 7.4
# Uncorrected energy (eV for the cell shown): -46.25
# Space-group type: I-42d (122)

[9]
# La2BiBr | Alexandria | GGA-PBE | optimized geometry
data_La2BiBr
_chemical_formula_sum 'La2 Bi1 Br1'
_cell_length_a 4.4446
_cell_length_b 4.4446
_cell_length_c 8.3918
_cell_angle_alpha 74.64
_cell_angle_beta 74.64
_cell_angle_gamma 60.00
_symmetry_space_group_name_H-M 'P 1'
_symmetry_Int_Tables_number 1
_symmetry_space_group_name_Hall 'P 1'
loop_
_atom_site_label
_atom_site_type_symbol
_atom_site_fract_x
_atom_site_fract_y
_atom_site_fract_z
La1 La 0.0798 0.0798 0.7605
Br1 Br 0.4989 0.4989 0.5032
Bi1 Bi 0.6676 0.6676 0.9971
La2 La 0.2536 0.2536 0.2392
# Uncorrected formation energy (eV per formula unit): -4.4
# Crystal system: trigonal
# ρ (Mg/m³): 6.9
# Uncorrected energy (eV for the cell shown): -19.82
# Energy above the most stable polymorph in this dataset (eV/atom): 0.0777
# Space-group type: R3m (160)

[10]
# LaCdCl2 | Alexandria | GGA-PBE | optimized geometry
data_LaCdCl2
_chemical_formula_sum 'La1 Cd1 Cl2'
_cell_length_a 11.0415
_cell_length_b 11.0415
_cell_length_c 11.0415
_cell_angle_alpha 20.57
_cell_angle_beta 20.57
_cell_angle_gamma 20.57
_symmetry_space_group_name_H-M 'P 1'
_symmetry_Int_Tables_number 1
_symmetry_space_group_name_Hall 'P 1'
loop_
_atom_site_label
_atom_site_type_symbol
_atom_site_fract_x
_atom_site_fract_y
_atom_site_fract_z
Cl1 Cl 0.9718 0.9718 0.9718
La1 La 0.2500 0.2500 0.2500
Cd1 Cd 0.7500 0.7500 0.7500
Cl2 Cl 0.5282 0.5282 0.5282
# Uncorrected formation energy (eV per formula unit): -5.5
# Crystal system: trigonal
# ρ (Mg/m³): 3.7
# Uncorrected energy (eV for the cell shown): -15.08
# Energy above the most stable polymorph in this dataset (eV/atom): 0.0443
# Space-group type: R-3m (166)

[11]
# YEr3Pb2 | Alexandria | GGA-PBE | optimized geometry
data_YEr3Pb2
_chemical_formula_sum 'Y2 Er6 Pb4'
_cell_length_a 4.5295
_cell_length_b 10.4937
_cell_length_c 9.5806
_cell_angle_alpha 124.98
_cell_angle_beta 90.00
_cell_angle_gamma 102.46
_symmetry_space_group_name_H-M 'P 1'
_symmetry_Int_Tables_number 1
_symmetry_space_group_name_Hall 'P 1'
loop_
_atom_site_label
_atom_site_type_symbol
_atom_site_fract_x
_atom_site_fract_y
_atom_site_fract_z
Er1 Er 0.6450 0.2900 0.8031
Y1 Y 0.1135 0.2270 0.1061
Pb1 Pb 0.4943 0.9886 0.8329
Er2 Er 0.0571 0.1143 0.4282
Er3 Er 0.3085 0.6170 0.5084
Y2 Y 0.8865 0.7730 0.8939
Er4 Er 0.3550 0.7100 0.1969
Pb2 Pb 0.5057 0.0114 0.1671
Er5 Er 0.9429 0.8857 0.5718
Pb3 Pb 0.2480 0.4959 0.7798
Pb4 Pb 0.7520 0.5041 0.2202
Er6 Er 0.6915 0.3830 0.4916
# Crystal system: monoclinic
# ρ (Mg/m³): 9.3
# Uncorrected energy (eV for the cell shown): -58.89
# Energy above the most stable polymorph in this dataset (eV/atom): 0.0909
# Space-group type: C2/m (12)

[12]
# Tb5CeSm6 | Alexandria | GGA-PBE | optimized geometry
data_Tb5CeSm6
_chemical_formula_sum 'Tb5 Ce1 Sm6'
_cell_length_a 5.0846
_cell_length_b 10.1603
_cell_length_c 9.5015
_cell_angle_alpha 122.28
_cell_angle_beta 105.52
_cell_angle_gamma 90.04
_symmetry_space_group_name_H-M 'P 1'
_symmetry_Int_Tables_number 1
_symmetry_space_group_name_Hall 'P 1'
loop_
_atom_site_label
_atom_site_type_symbol
_atom_site_fract_x
_atom_site_fract_y
_atom_site_fract_z
Sm1 Sm 0.8347 0.5854 0.6694
Tb1 Tb 0.0000 0.5000 0.0000
Tb2 Tb 0.6672 0.6673 0.3347
Tb3 Tb 0.6659 0.1658 0.3316
Sm2 Sm 0.5000 0.2481 0.0000
Tb4 Tb 0.3341 0.8342 0.6684
Tb5 Tb 0.3328 0.3327 0.6653
Ce1 Ce 0.0000 0.0000 0.0000
Sm3 Sm 0.8347 0.0841 0.6695
Sm4 Sm 0.5000 0.7519 0.0000
Sm5 Sm 0.1653 0.4146 0.3306
Sm6 Sm 0.1653 0.9159 0.3305
# Crystal system: orthorhombic
# ρ (Mg/m³): 7.7
# Uncorrected energy (eV for the cell shown): -56.96
# Space-group type: Immm (71)

What did the fifth record say?
# Bi2TeSCl | Alexandria | GGA-PBE | optimized geometry
data_Bi2TeSCl
_chemical_formula_sum 'Bi2 Te1 S1 Cl1'
_cell_length_a 5.6502
_cell_length_b 5.6502
_cell_length_c 4.6429
_cell_angle_alpha 90.00
_cell_angle_beta 90.00
_cell_angle_gamma 90.00
_symmetry_space_group_name_H-M 'P 1'
_symmetry_Int_Tables_number 1
_symmetry_space_group_name_Hall 'P 1'
loop_
_atom_site_label
_atom_site_type_symbol
_atom_site_fract_x
_atom_site_fract_y
_atom_site_fract_z
Bi1 Bi 0.5000 0.0000 0.0000
S1 S 0.0000 0.0000 0.5000
Bi2 Bi 0.0000 0.5000 0.0000
Cl1 Cl 0.0000 0.0000 0.0000
Te1 Te 0.5000 0.5000 0.5000
# Uncorrected formation energy (eV per formula unit): 2.9
# Crystal system: tetragonal
# ρ (Mg/m³): 6.9
# Uncorrected energy (eV for the cell shown): -13.96
# Space-group type: P4/mmm (123)

> Among the records above, which one has the lowest ρ?

LaCdCl2